Crystalline Tm8C3Se4S at its relaxed geometry. Source: Alexandria, functional PBE.

Cell lengths 7.791, 7.791, 7.791 Å; angles 57.77, 57.77, 57.77 degrees
Positions (direct):
Tm: 0.215 0.747 0.747
Tm: 0.235 0.235 0.235
Tm: 0.253 0.253 0.785
Tm: 0.253 0.785 0.253
Tm: 0.747 0.215 0.747
Tm: 0.747 0.747 0.215
Tm: 0.765 0.765 0.765
Tm: 0.785 0.253 0.253
C: 0.000 0.000 0.500
C: 0.000 0.500 0.000
C: 0.500 0.000 0.000
Se: 0.000 0.000 0.000
Se: 0.000 0.500 0.500
Se: 0.500 0.000 0.500
Se: 0.500 0.500 0.000
S: 0.500 0.500 0.500

Values from the calculation:
Crystal system = trigonal
E_form (uncorrected) = -22.11 eV/f.u.
Space-group type = R-3m (166)
Spin magnetization = 0.000 Bohr magnetons per cell
Energy = -103.62 eV for the cell shown